# 1
# PBE Tl2NiBr, relaxed
data_Tl2NiBr
_symmetry_space_group_name_H-M 'P 1'
_symmetry_Int_Tables_number 1
_cell_length_a 3.495
_cell_length_b 3.495
_cell_length_c 7.841
_cell_angle_alpha 90.00
_cell_angle_beta 90.00
_cell_angle_gamma 95.40
loop_
_symmetry_equiv_pos_as_xyz
'x,y,z'
loop_
_atom_site_label
_atom_site_type_symbol
_atom_site_fract_x
_atom_site_fract_y
_atom_site_fract_z
Tl1 Tl 0.000 0.000 0.954
Tl2 Tl 0.000 0.000 0.546
Br1 Br 0.500 0.500 0.250
Ni1 Ni 0.500 0.500 0.750
# Space group: No. 65
# ΔE to the lowest computed polymorph: 131.7 meV per atom
# Raw total energy: -2.950 eV per atom


# 2
# PBE K5BaHg6, relaxed
data_K5BaHg6
_symmetry_space_group_name_H-M 'P 1'
_symmetry_Int_Tables_number 1
_cell_length_a 6.016
_cell_length_b 8.403
_cell_length_c 9.473
_cell_angle_alpha 90.00
_cell_angle_beta 108.70
_cell_angle_gamma 90.00
loop_
_symmetry_equiv_pos_as_xyz
'x,y,z'
loop_
_atom_site_label
_atom_site_type_symbol
_atom_site_fract_x
_atom_site_fract_y
_atom_site_fract_z
Ba1 Ba 0.000 0.000 0.000
K1 K 0.328 0.000 0.652
K2 K 0.000 0.500 0.000
K3 K 0.662 0.500 0.329
K4 K 0.338 0.500 0.671
K5 K 0.672 0.000 0.348
Hg1 Hg 0.844 0.251 0.683
Hg2 Hg 0.156 0.749 0.317
Hg3 Hg 0.500 0.781 0.000
Hg4 Hg 0.156 0.251 0.317
Hg5 Hg 0.500 0.219 0.000
Hg6 Hg 0.844 0.749 0.683
# Space group: No. 10
# Formation energy from the elements: -251 meV per atom
# Raw total energy: -1.019 eV per atom


# 3
# PBE CdTcBS2, relaxed
data_CdTcBS2
_symmetry_space_group_name_H-M 'P 1'
_symmetry_Int_Tables_number 1
_cell_length_a 4.886
_cell_length_b 5.325
_cell_length_c 4.886
_cell_angle_alpha 90.00
_cell_angle_beta 90.00
_cell_angle_gamma 90.00
loop_
_symmetry_equiv_pos_as_xyz
'x,y,z'
loop_
_atom_site_label
_atom_site_type_symbol
_atom_site_fract_x
_atom_site_fract_y
_atom_site_fract_z
Tc1 Tc 0.000 0.500 0.000
B1 B 0.500 0.500 0.500
Cd1 Cd 0.000 0.000 0.000
S1 S 0.500 0.000 0.000
S2 S 0.000 0.000 0.500
# Space group: No. 123
# Raw total energy: -3.120 eV per atom


Number 1: M_tot 0.14 μB per formula unit. Number 2: M_tot 0.00 μB per formula unit. Number 3: M_tot 3.91 μB per formula unit.